VASP calculation (GGA+U) on a relaxed MnZnOF2 crystal.

Cell and atoms, written as CIF:
```
data_MnZnOF2
_symmetry_space_group_name_H-M 'P 4/m m m'
_symmetry_Int_Tables_number 123
_symmetry_space_group_name_Hall '-P 4 2'
_cell_length_a 4.040
_cell_length_b 4.040
_cell_length_c 3.982
_cell_angle_alpha 90.00
_cell_angle_beta 90.00
_cell_angle_gamma 90.00
loop_
_atom_site_label
_atom_site_type_symbol
_atom_site_fract_x
_atom_site_fract_y
_atom_site_fract_z
_atom_site_occupancy
Mn1 Mn 0.000 0.000 0.000 1
Zn1 Zn 0.500 0.500 0.500 1
O1 O 0.000 0.000 0.500 1
F1 F 0.000 0.500 0.000 1
```

As for the electronic total energy: -4.98 eV per atom. The total magnetic moment is 0.876 μB per atom. For the energy above the most stable polymorph in this dataset, the calculation gives 63 meV/atom.